KBiPO2 | PBE-GGA | optimized geometry

Calculated values
space group: P4/mmm, No. 123
uncorrected formation energy: -265 meV per atom
mass density: 4.84 g/cm³
DOS(E_F): 2.4 states/eV per cell
magnetic moment: 1.71 μB/cell

Cell lengths 4.453, 4.453, 5.379 Å; angles 90.00, 90.00, 90.00 degrees
Last column: magnetic moment on the atom in μB.
Fractional coordinates of all 5 atoms:
K 0.500 0.500 0.500  0.03
P 0.000 0.000 0.500  0.57
O 0.500 0.000 0.000  0.16
O 0.000 0.500 0.000  0.16
Bi 0.000 0.000 0.000  -0.02